# 1
VASP calculation (PBE) on an optimized crystal structure of Rb2InMoCl6.

Cell lengths 7.639, 7.639, 7.639 Å; angles 60.00, 60.00, 60.00 degrees
Positions (direct):
1 Rb 0.250 0.250 0.250
2 Rb 0.750 0.750 0.750
3 In 0.000 0.000 0.000
4 Mo 0.500 0.500 0.500
5 Cl 0.273 0.273 0.727
6 Cl 0.273 0.727 0.273
7 Cl 0.273 0.727 0.727
8 Cl 0.727 0.273 0.273
9 Cl 0.727 0.273 0.727
10 Cl 0.727 0.727 0.273

Computed properties:
energy = -39.538 eV per formula unit
crystal system = cubic
density = 3.131 g cm⁻³
M_tot = 3.00 μB per cell

# 2
VASP calculation (PBE) on an optimized crystal structure of NaIn2NiCl6.

Cell lengths 7.067, 7.067, 7.067 Å; angles 60.00, 60.00, 60.00 degrees
Positions (direct):
1 Na 0.000 0.000 0.000
2 In 0.250 0.250 0.250
3 In 0.750 0.750 0.750
4 Ni 0.500 0.500 0.500
5 Cl 0.270 0.270 0.730
6 Cl 0.270 0.730 0.270
7 Cl 0.270 0.730 0.730
8 Cl 0.730 0.270 0.270
9 Cl 0.730 0.270 0.730
10 Cl 0.730 0.730 0.270

Computed properties:
energy = -31.650 eV per formula unit
crystal system = cubic
density = 3.487 g cm⁻³
M_tot = 1.00 μB per cell

# 3
VASP calculation (PBE) on an optimized crystal structure of NaIn2PdCl6.

Cell lengths 7.296, 7.296, 7.296 Å; angles 122.21, 122.21, 86.22 degrees
Positions (direct):
1 Na 0.000 0.000 0.000
2 In 0.250 0.750 0.500
3 In 0.750 0.250 0.500
4 Pd 0.500 0.500 0.000
5 Cl 0.212 0.328 0.541
6 Cl 0.257 0.257 0.000
7 Cl 0.328 0.788 0.116
8 Cl 0.672 0.212 0.884
9 Cl 0.743 0.743 0.000
10 Cl 0.788 0.672 0.459

Computed properties:
energy = -31.098 eV per formula unit
offset from the most stable computed form = 0.0 kJ/mol of atoms
crystal system = tetragonal
density = 3.585 g cm⁻³

# 4
VASP calculation (PBE) on an optimized crystal structure of NaIn2PdCl6.

Cell lengths 7.195, 7.195, 7.195 Å; angles 60.00, 60.00, 60.00 degrees
Positions (direct):
1 Na 0.000 0.000 0.000
2 In 0.250 0.250 0.250
3 In 0.750 0.750 0.750
4 Pd 0.500 0.500 0.500
5 Cl 0.263 0.263 0.737
6 Cl 0.263 0.737 0.263
7 Cl 0.263 0.737 0.737
8 Cl 0.737 0.263 0.263
9 Cl 0.737 0.263 0.737
10 Cl 0.737 0.737 0.263

Computed properties:
energy = -30.978 eV per formula unit
offset from the most stable computed form = 1.2 kJ/mol of atoms
crystal system = cubic
density = 3.605 g cm⁻³

What is the energy in the fourth record?
-30.978 eV per formula unit